--- one ---
DFT (GGA-PBE) results for SmDyGaIr after structural relaxation.

Properties
Volume in Å³/atom: 22.23
DOS at the Fermi energy in states/eV/cell: 12.838
Total magnetization in μB/cell: 0.000

Cell lengths 7.085, 7.085, 7.085 Å; angles 90.00, 90.00, 90.00 degrees
Space group F-43m (No. 216)
Inequivalent atoms, fractional coordinates:
Sm (0.000, 0.000, 0.000)
Dy (0.000, 0.000, 0.500)
Ga (0.250, 0.250, 0.750)
Ir (0.250, 0.250, 0.250)

***

--- two ---
DFT (GGA-PBE) results for SmDyGaIr after structural relaxation.

Properties
Volume in Å³/atom: 23.32
DOS at the Fermi energy in states/eV/cell: 6.651
Total magnetization in μB/cell: 0.000

Cell lengths 4.264, 4.056, 10.789 Å; angles 90.00, 90.00, 90.00 degrees
Space group Amm2 (No. 38)
Inequivalent atoms, fractional coordinates:
Sm (0.000, 0.000, 0.000)
Dy (0.500, 0.000, 0.282)
Ga (0.500, 0.000, 0.577)
Ir (0.000, 0.000, 0.719)

***

Most stable one: two, least stable one: one.

***

--- one ---
DFT (GGA-PBE) results for DyTmGaIr after structural relaxation.

Properties
Volume in Å³/atom: 21.08
DOS at the Fermi energy in states/eV/cell: 8.789
Total magnetization in μB/cell: 0.000

Cell lengths 6.961, 6.961, 6.961 Å; angles 90.00, 90.00, 90.00 degrees
Space group F-43m (No. 216)
Inequivalent atoms, fractional coordinates:
Dy (0.000, 0.000, 0.000)
Tm (0.000, 0.000, 0.500)
Ga (0.250, 0.250, 0.750)
Ir (0.250, 0.250, 0.250)

***

--- two ---
DFT (GGA-PBE) results for DyTmGaIr after structural relaxation.

Properties
Volume in Å³/atom: 22.13
DOS at the Fermi energy in states/eV/cell: 5.661
Total magnetization in μB/cell: 0.000

Cell lengths 4.298, 3.890, 10.588 Å; angles 90.00, 90.00, 90.00 degrees
Space group Amm2 (No. 38)
Inequivalent atoms, fractional coordinates:
Dy (0.000, 0.000, 0.000)
Tm (0.500, 0.000, 0.718)
Ga (0.000, 0.000, 0.287)
Ir (0.500, 0.000, 0.432)

***

Most stable one: two, least stable one: one.